Computed, not measured: crystalline Na4GePdO6 at its relaxed geometry at the GGA-PBE level of DFT.

a = 5.3013 Å, b = 5.3013 Å, c = 5.5310 Å
α = 99.32°, β = 99.32°, γ = 119.95°
Element x y z (fractional)
Na1 0.0000 0.0000 0.0000
Na2 0.1573 0.8427 0.5000
Na3 0.4932 0.5068 0.5000
Na4 0.8458 0.1542 0.5000
Ge1 0.6671 0.3329 0.0000
Pd1 0.3324 0.6676 0.0000
O1 0.0547 0.4325 0.2088
O2 0.3054 0.2909 0.7925
O3 0.4481 0.0867 0.2089
O4 0.5675 0.9453 0.7912
O5 0.7091 0.6946 0.2075
O6 0.9133 0.5519 0.7911

Values from the calculation:
**Calculated total energy**: -5.121 eV per atom